(1)
CeNdMg6 | PBE | relaxed

Summary:
DFT formation energy in eV/f.u.: -0.33
Calculated total energy in eV per atom: -2.5745

Unit cell a=6.7962 b=6.7962 c=5.2223 alpha=90.00 beta=90.00 gamma=120.00
Space group P-6m2 (No. 187)
Inequivalent atoms, fractional coordinates:
Ce 0.0000 0.0000 0.0000 [1 per cell]
Nd 0.6667 0.3333 0.5000 [1 per cell]
Mg 0.0089 0.5044 0.0000 [3 per cell]
Mg 0.1698 0.3395 0.5000 [3 per cell]


(2)
Ac2GeH3 | PBE | relaxed

Summary:
Calculated total energy in eV per atom: -4.3772

Unit cell a=15.837 b=4.312 c=8.213 alpha=90.00 beta=120.33 gamma=90.00
Space group C2/m (No. 12)
Inequivalent atoms, fractional coordinates:
Ac 0.015 0.000 0.259 [4 per cell]
Ac 0.227 0.500 0.255 [4 per cell]
Ge 0.095 0.500 0.612 [4 per cell]
H 0.059 0.500 0.180 [4 per cell]
H 0.126 0.000 0.081 [4 per cell]
H 0.197 0.000 0.403 [4 per cell]


Question: The highest calculated total energy belongs to which entry?
Answer: CeNdMg6